Density functional theory data (PBE) for an optimized crystal structure of TlMoBr6.

It has space group C2/c (No. 15), with a = 11.594 Å, b = 8.540 Å, c = 11.177 Å, α = 90.00°, β = 90.18° and γ = 90.00°. The inequivalent atoms are Tl at (0.000, 0.012, 0.250), Mo at (0.250, 0.250, 0.500), Br at (0.067, 0.343, 0.405), Br at (0.166, 0.299, 0.704) and Br at (0.172, 0.027, 0.003).

The volume comes out at 34.6 Å³/atom. For the energy relative to the lowest polymorph listed for this composition, the calculation gives 0.0 meV/atom. The calculation puts the magnetic moment at 4.0 μB per cell. The formation energy (no corrections) is -0.56 eV per atom.